Entry 1:
Here is SrP2Pt after structural relaxation from the Alexandria database. Energies are from PBE-GGA.

Output
Its density is 5897 kg/m³. The energy of formation from the pure elements is -0.63 eV per atom. For the uncorrected energy, the calculation gives -5.27 eV per atom. The calculation puts the volume at 24.26 A^3/atom.

Cell lengths 5.5870, 5.5870, 4.6561 Å; angles 80.15, 80.15, 42.79 degrees
Sites, in units of the cell vectors:
Pt 0.5508 0.5508 0.3376
P 0.9824 0.9824 0.1707
P 0.1887 0.1887 0.2499
Sr 0.7781 0.7781 0.7418



Entry 2:
Here is SrPPt2 after structural relaxation from the Alexandria database. Energies are from PBE-GGA.

Output
Its density is 9553 kg/m³. The energy of formation from the pure elements is -0.79 eV per atom. For the uncorrected energy, the calculation gives -5.59 eV per atom. The calculation puts the volume at 22.11 A^3/atom.

Cell lengths 4.1764, 4.1764, 5.0701 Å; angles 90.00, 90.00, 90.00 degrees
Sites, in units of the cell vectors:
Sr 0.0000 0.0000 0.5362
Pt 0.0000 0.5000 0.0551
P 0.5000 0.5000 0.8533
Pt 0.5000 0.0000 0.0551



Entry 3:
Here is SrP2Pt after structural relaxation from the Alexandria database. Energies are from PBE-GGA.

Output
Its density is 7383 kg/m³. The energy of formation from the pure elements is -0.04 eV per atom. For the uncorrected energy, the calculation gives -4.67 eV per atom. The calculation puts the volume at 19.38 A^3/atom.

Cell lengths 5.4552, 5.4552, 5.4552 Å; angles 135.92, 135.92, 64.11 degrees
Sites, in units of the cell vectors:
Pt 0.5000 0.5000 0.0000
P 0.2500 0.7500 0.5000
P 0.0000 0.0000 0.0000
Sr 0.7500 0.2500 0.5000



Entry 4:
Here is SrP3Pt6 after structural relaxation from the Alexandria database. Energies are from PBE-GGA.

Output
Its density is 12284 kg/m³. The energy of formation from the pure elements is -0.56 eV per atom. For the uncorrected energy, the calculation gives -5.97 eV per atom. The calculation puts the volume at 18.26 A^3/atom.

Cell lengths 6.3856, 6.3856, 6.3513 Å; angles 90.00, 120.18, 120.00 degrees
Sites, in units of the cell vectors:
P 0.2402 0.1201 0.3603
Pt 0.3615 0.9469 0.7173
P 0.2741 0.6370 0.9111
Pt 0.7577 0.0331 0.2355
Pt 0.7703 0.4146 0.7173
Pt 0.5109 0.4778 0.2355
Pt 0.3027 0.3557 0.7173
Sr 0.8516 0.9258 0.7774
Pt 0.2024 0.7247 0.2355
P 0.7286 0.3643 0.0929



Entry 5:
Here is SrPPt after structural relaxation from the Alexandria database. Energies are from PBE-GGA.

Output
Its density is 6549 kg/m³. The energy of formation from the pure elements is 0.29 eV per atom. For the uncorrected energy, the calculation gives -4.08 eV per atom. The calculation puts the volume at 26.51 A^3/atom.

Cell lengths 4.8272, 4.8272, 4.8272 Å; angles 60.00, 60.00, 60.00 degrees
Sites, in units of the cell vectors:
Sr 0.7500 0.7500 0.7500
Pt 0.5000 0.5000 0.5000
P 0.0000 0.0000 0.0000



Entry 6:
Here is SrPPt after structural relaxation from the Alexandria database. Energies are from PBE-GGA.

Output
Its density is 8010 kg/m³. The energy of formation from the pure elements is -0.53 eV per atom. For the uncorrected energy, the calculation gives -4.90 eV per atom. The calculation puts the volume at 21.67 A^3/atom.

Cell lengths 5.8623, 5.8623, 5.8623 Å; angles 145.29, 145.29, 49.91 degrees
Sites, in units of the cell vectors:
Sr 0.3328 0.3328 0.0000
P 0.0538 0.0538 0.0000
Pt 0.6135 0.6135 0.0000



Entry 7:
Here is SrPPt2 after structural relaxation from the Alexandria database. Energies are from PBE-GGA.

Output
Its density is 8967 kg/m³. The energy of formation from the pure elements is -0.76 eV per atom. For the uncorrected energy, the calculation gives -5.55 eV per atom. The calculation puts the volume at 23.55 A^3/atom.

Cell lengths 3.8199, 4.6021, 5.3595 Å; angles 90.00, 90.00, 90.00 degrees
Sites, in units of the cell vectors:
Pt 0.0000 0.5000 0.7513
Sr 0.5000 0.0000 0.0000
P 0.5000 0.5000 0.5000
Pt 0.0000 0.5000 0.2487



Entry 8:
Here is SrPPt2 after structural relaxation from the Alexandria database. Energies are from PBE-GGA.

Output
Its density is 11127 kg/m³. The energy of formation from the pure elements is -0.25 eV per atom. For the uncorrected energy, the calculation gives -5.04 eV per atom. The calculation puts the volume at 18.98 A^3/atom.

Cell lengths 3.1837, 3.1837, 7.4910 Å; angles 90.00, 90.00, 90.00 degrees
Sites, in units of the cell vectors:
Pt 0.0000 0.0000 0.6890
Pt 0.0000 0.0000 0.3110
P 0.5000 0.5000 0.5000
Sr 0.5000 0.5000 0.0000



Entry 9:
Here is SrPPt2 after structural relaxation from the Alexandria database. Energies are from PBE-GGA.

Output
Its density is 10253 kg/m³. The energy of formation from the pure elements is -0.47 eV per atom. For the uncorrected energy, the calculation gives -5.27 eV per atom. The calculation puts the volume at 20.60 A^3/atom.

Cell lengths 5.3223, 5.3223, 5.3223 Å; angles 139.93, 119.69, 74.90 degrees
Sites, in units of the cell vectors:
Pt 0.2078 0.7078 0.5000
P 0.8016 0.3016 0.5000
Pt 0.9682 0.9682 0.0000
Sr 0.5224 0.5224 0.0000



Entry 10:
Here is SrP2Pt after structural relaxation from the Alexandria database. Energies are from PBE-GGA.

Output
Its density is 7131 kg/m³. The energy of formation from the pure elements is -0.79 eV per atom. For the uncorrected energy, the calculation gives -5.43 eV per atom. The calculation puts the volume at 20.06 A^3/atom.

Cell lengths 6.3879, 6.3879, 6.3879 Å; angles 35.93, 35.93, 35.93 degrees
Sites, in units of the cell vectors:
P 0.5272 0.5272 0.5272
P 0.9728 0.9728 0.9728
Pt 0.2500 0.2500 0.2500
Sr 0.7500 0.7500 0.7500



Entry 11:
Here is SrP2Pt after structural relaxation from the Alexandria database. Energies are from PBE-GGA.

Output
Its density is 6515 kg/m³. The energy of formation from the pure elements is -0.65 eV per atom. For the uncorrected energy, the calculation gives -5.29 eV per atom. The calculation puts the volume at 21.96 A^3/atom.

Cell lengths 5.0890, 5.0890, 5.0890 Å; angles 132.72, 106.09, 92.55 degrees
Sites, in units of the cell vectors:
P 0.9211 0.9211 0.0000
Sr 0.2500 0.7500 0.5000
Pt 0.7500 0.2500 0.5000
P 0.5789 0.5789 0.0000



Entry 12:
Here is SrPPt2 after structural relaxation from the Alexandria database. Energies are from PBE-GGA.

Output
Its density is 10574 kg/m³. The energy of formation from the pure elements is -0.42 eV per atom. For the uncorrected energy, the calculation gives -5.21 eV per atom. The calculation puts the volume at 19.97 A^3/atom.

Cell lengths 3.4889, 3.4889, 6.5640 Å; angles 90.00, 90.00, 90.00 degrees
Sites, in units of the cell vectors:
P 0.5000 0.5000 0.8457
Sr 0.0000 0.0000 0.4919
Pt 0.5000 0.5000 0.1993
Pt 0.0000 0.0000 0.9631



Entry 13:
Here is SrPPt after structural relaxation from the Alexandria database. Energies are from PBE-GGA.

Output
Its density is 7857 kg/m³. The energy of formation from the pure elements is -0.95 eV per atom. For the uncorrected energy, the calculation gives -5.33 eV per atom. The calculation puts the volume at 22.10 A^3/atom.

Cell lengths 4.2457, 4.2457, 7.9450 Å; angles 105.50, 105.50, 90.00 degrees
Sites, in units of the cell vectors:
P 0.6704 0.1704 0.3407
Sr 0.5000 0.5000 0.0000
P 0.8296 0.3296 0.6593
Sr 0.2500 0.7500 0.5000
Pt 0.9077 0.9077 0.8153
Pt 0.0923 0.0923 0.1847



Entry 14:
Here is SrP2Pt after structural relaxation from the Alexandria database. Energies are from PBE-GGA.

Output
Its density is 6870 kg/m³. The energy of formation from the pure elements is -0.21 eV per atom. For the uncorrected energy, the calculation gives -4.84 eV per atom. The calculation puts the volume at 20.83 A^3/atom.

Cell lengths 5.5026, 5.5026, 5.5026 Å; angles 143.87, 120.32, 71.79 degrees
Sites, in units of the cell vectors:
P 0.9322 0.9322 0.0000
P 0.7550 0.2550 0.5000
Sr 0.2459 0.7459 0.5000
Pt 0.5669 0.5669 0.0000